Record 1
# AlNi12B5

An optimized crystal structure of AlNi12B5 (PBE, Alexandria via LeMat-Bulk).

The structure in CIF format:
```
data_AlNi12B5
_chemical_formula_sum 'Al2 Ni24 B10'
_cell_length_a 6.6958
_cell_length_b 6.7314
_cell_length_c 7.5255
_cell_angle_alpha 90.00
_cell_angle_beta 90.00
_cell_angle_gamma 90.00
_space_group_name_H-M_alt 'I m m m'
_space_group_IT_number 71
_space_group_name_Hall '-I 2 2'
loop_
_atom_site_label
_atom_site_type_symbol
_atom_site_fract_x
_atom_site_fract_y
_atom_site_fract_z
Al1 Al 0.0000 0.0000 0.0000
Ni1 Ni 0.0000 0.1857 0.2749
Ni2 Ni 0.1882 0.5000 0.3235
Ni3 Ni 0.2151 0.3163 0.0000
B1 B 0.0000 0.0000 0.5000
B2 B 0.0000 0.3510 0.5000
B3 B 0.0000 0.5000 0.1178
```


Record 2
# NpInCu

An optimized crystal structure of NpInCu (PBE, Alexandria via LeMat-Bulk).

The structure in CIF format:
```
data_NpInCu
_chemical_formula_sum 'Np1 In1 Cu1'
_cell_length_a 4.8905
_cell_length_b 4.8905
_cell_length_c 2.9570
_cell_angle_alpha 90.00
_cell_angle_beta 90.00
_cell_angle_gamma 120.00
_space_group_name_H-M_alt 'P -6 m 2'
_space_group_IT_number 187
_space_group_name_Hall 'P -6 2'
loop_
_atom_site_label
_atom_site_type_symbol
_atom_site_fract_x
_atom_site_fract_y
_atom_site_fract_z
Np1 Np 0.0000 0.0000 0.0000
In1 In 0.3333 0.6667 0.5000
Cu1 Cu 0.6667 0.3333 0.5000
```


Record 3
# Pr5Sm7

An optimized crystal structure of Pr5Sm7 (PBE, Alexandria via LeMat-Bulk).

Calculated values
E above lowest polymorph   0.0000 eV per atom

The structure in CIF format:
```
data_Pr5Sm7
_chemical_formula_sum 'Pr10 Sm14'
_cell_length_a 19.1251
_cell_length_b 3.6819
_cell_length_c 13.4712
_cell_angle_alpha 90.00
_cell_angle_beta 118.25
_cell_angle_gamma 90.00
_space_group_name_H-M_alt 'C 1 2/m 1'
_space_group_IT_number 12
loop_
_space_group_symop_operation_xyz
'x,y,z'
'-x,-y,-z'
'-x,y,-z'
'x,-y,z'
'x+1/2,y+1/2,z'
'-x+1/2,-y+1/2,-z'
'-x+1/2,y+1/2,-z'
'x+1/2,-y+1/2,z'
loop_
_atom_site_label
_atom_site_type_symbol
_atom_site_fract_x
_atom_site_fract_y
_atom_site_fract_z
Pr1 Pr 0.0000 0.0000 0.0000
Pr2 Pr 0.1656 0.0000 0.4981
Pr3 Pr 0.1945 0.5000 0.7509
Sm1 Sm 0.0000 0.5000 0.5000
Sm2 Sm 0.0271 0.0000 0.7500
Sm3 Sm 0.1385 0.5000 0.2487
Sm4 Sm 0.1663 0.5000 0.9983
```


Record 4
# NaTbAg

An optimized crystal structure of NaTbAg (PBE, Alexandria via LeMat-Bulk).

Calculated values
E above lowest polymorph   0.0978 eV per atom

The structure in CIF format:
```
data_NaTbAg
_chemical_formula_sum 'Na2 Tb2 Ag2'
_cell_length_a 3.5455
_cell_length_b 3.5455
_cell_length_c 13.2231
_cell_angle_alpha 90.00
_cell_angle_beta 90.00
_cell_angle_gamma 90.00
_space_group_name_H-M_alt 'I 4 m m'
_space_group_IT_number 107
_space_group_name_Hall 'I 4 -2'
loop_
_atom_site_label
_atom_site_type_symbol
_atom_site_fract_x
_atom_site_fract_y
_atom_site_fract_z
Na1 Na 0.0000 0.0000 0.0000
Tb1 Tb 0.0000 0.0000 0.2815
Ag1 Ag 0.0000 0.0000 0.6504
```


| no. | magnetic moment (μB/atom) | DFT formation energy (meV per atom) |
| --- | --- | --- |
| 1 | 0.00 | -306 |
| 2 | 1.42 | 125 |
| 3 | 0.00 | 5 |
| 4 | 0.00 | 27 |